i:
Entry from Alexandria: a geometry-optimized CeGaSn structure (PBE-GGA).

DOS at the Fermi energy (states/eV/f.u.): 6.5

Cell: 4.6166 7.8654 8.3169 Å, 90.00 90.00 90.00°
Closest atoms and distances in Å follow each position.
Space group Cmcm (No. 63)
Symmetry-distinct sites (fractional):
Ce1 0.0000 0.0000 0.0000 (multiplicity 4)  6 Ga 3.33-3.38, 6 Sn 3.35-3.37
Ga1 0.0000 0.3308 0.2500 (multiplicity 4)  3 Sn 2.64-2.65
Sn1 0.0000 0.3340 0.7500 (multiplicity 4)  3 Ga 2.64-2.65


ii:
Entry from Alexandria: a geometry-optimized CeGaSn structure (PBE-GGA).

DOS at the Fermi energy (states/eV/f.u.): 7.3

Cell: 4.4836 4.4836 4.4568 Å, 90.00 90.00 120.00°
Closest atoms and distances in Å follow each position.
Space group P3m1 (No. 156)
Symmetry-distinct sites (fractional):
Ce1 0.0000 0.0000 0.0000 (multiplicity 1)  3 Ga 3.04, 3 Sn 3.26
Ga1 0.3333 0.6667 0.6417 (multiplicity 1)  3 Sn 2.73, 3 Ce 3.04
Sn1 0.6667 0.3333 0.4449 (multiplicity 1)  3 Ga 2.73


Verdict on stability: i comes out at the bottom.